[1]
The following is a DFT calculation (PBE) of a relaxed KNb6O12 crystal.

```
KNb6O12
1.0
6.397 -0.011 -0.016
-1.596 6.194 -0.016
-1.596 -2.056 5.843
Nb O K
6 12 1
Cartesian
3.239 0.968 1.364
0.135 0.174 3.639
-0.035 3.159 4.448
3.069 3.953 2.173
0.135 3.378 1.364
3.069 0.749 4.448
-0.289 1.934 2.723
4.579 -0.247 2.906
1.602 5.136 0.724
1.259 1.621 4.726
-1.375 4.374 2.906
1.259 3.927 3.088
-1.375 1.302 5.088
3.493 2.193 3.088
1.602 -1.009 5.088
1.945 0.199 2.723
4.579 2.825 0.724
1.945 2.505 1.086
0.000 0.000 0.000
```

Output
Crystal system: trigonal
Magnetic moment, μB per formula unit: 4.26
D(E_F), states/eV per atom: 0.54
E above lowest polymorph, meV/atom: 118
Symmetry: R-3m, No. 166



[2]
The following is a DFT calculation (PBE) of a relaxed Ti2TcHPd crystal.

```
Ti2TcHPd
1.0
4.289 0.000 0.000
0.000 4.289 0.000
0.000 0.000 3.478
Tc Ti Pd H
1 2 1 1
Cartesian
2.145 2.145 1.739
2.145 0.000 0.000
0.000 2.145 0.000
0.000 0.000 1.739
0.000 0.000 0.000
```

Output
Crystal system: tetragonal
Magnetic moment, μB per formula unit: 0.00
D(E_F), states/eV per atom: 0.59
E above lowest polymorph, meV/atom: 15
Symmetry: P4/mmm, No. 123



[3]
The following is a DFT calculation (PBE) of a relaxed BaMn2Cr crystal.

```
BaMn2Cr
1.0
-4.222 -0.296 -0.782
-2.122 -3.610 0.993
-3.308 0.908 5.606
Cr Mn Ba
1 2 1
Cartesian
-2.413 -0.750 1.454
-6.536 -3.553 1.097
-4.634 -1.852 2.022
-7.239 -2.249 4.363
```

Output
Crystal system: monoclinic
Magnetic moment, μB per formula unit: 3.61
Calculated formation energy, eV/f.u.: 1.95
D(E_F), states/eV per atom: 1.12
E above lowest polymorph, meV/atom: 0
Symmetry: C2/m, No. 12



[4]
The following is a DFT calculation (PBE) of a relaxed Rb2NaSeBr6 crystal.

```
Rb2NaSeBr6
1.0
7.696 0.000 0.000
3.848 6.665 0.000
3.848 2.222 13.859
Rb Br Na Se
4 12 2 2
Cartesian
11.544 6.665 5.438
3.848 2.222 1.331
11.544 6.665 12.528
3.848 2.222 8.421
5.793 3.345 12.318
9.675 5.586 8.460
7.696 6.729 5.399
7.696 6.640 12.318
5.717 3.301 5.399
9.675 3.301 5.399
5.793 5.542 1.541
7.696 2.158 8.460
9.599 3.345 12.318
9.599 5.542 1.541
5.717 5.586 8.460
7.696 2.246 1.541
7.696 4.443 3.539
7.696 4.443 10.320
7.696 4.443 6.929
0.000 0.000 0.000
```

Output
Crystal system: trigonal
Magnetic moment, μB per formula unit: 0.00
D(E_F), states/eV per atom: 0.49
E above lowest polymorph, meV/atom: 0
Symmetry: R-3m, No. 166



[5]
The following is a DFT calculation (PBE) of a relaxed PmAlIn crystal.

```
PmAlIn
1.0
-2.907 0.403 -1.946
1.079 -2.575 -2.146
-1.929 -2.948 5.455
In Pm Al
1 1 1
Cartesian
-1.721 -2.442 2.065
-1.536 -1.968 -1.300
-3.402 -4.617 0.939
```

Output
Crystal system: tetragonal
Magnetic moment, μB per formula unit: 0.00
Calculated formation energy, eV/f.u.: -0.75
D(E_F), states/eV per atom: 0.82
E above lowest polymorph, meV/atom: 207
Symmetry: I4mm, No. 107



[6]
The following is a DFT calculation (PBE) of a relaxed Zr2MoPt crystal.

```
Zr2MoPt
1.0
4.192 0.000 0.000
0.000 4.192 0.000
2.096 2.096 9.325
Zr Mo Pt
4 2 2
Cartesian
1.063 3.144 2.331
3.129 1.048 2.331
3.144 3.159 6.994
5.240 5.225 6.994
2.096 2.096 0.000
2.096 4.192 4.662
0.000 0.000 0.000
4.192 2.096 4.662
```

Output
Crystal system: tetragonal
Magnetic moment, μB per formula unit: 0.00
Calculated formation energy, eV/f.u.: 1.26
D(E_F), states/eV per atom: 1.30
Symmetry: I-42d, No. 122



[7]
The following is a DFT calculation (PBE) of a relaxed RbBa2Sr4 crystal.

```
RbBa2Sr4
1.0
-3.290 1.871 -2.174
-3.994 0.109 1.757
3.059 23.175 10.940
Rb Sr Ba
1 4 2
Cartesian
0.000 0.000 0.000
-2.637 21.047 8.965
-1.587 4.109 1.558
-4.908 11.729 4.380
0.683 13.427 6.143
-0.973 17.251 7.561
-3.251 7.904 2.962
```

Output
Crystal system: trigonal
Magnetic moment, μB per formula unit: 0.00
Calculated formation energy, eV/f.u.: 0.30
D(E_F), states/eV per atom: 1.12
Symmetry: R-3m, No. 166



[8]
The following is a DFT calculation (PBE) of a relaxed MnCo3 crystal.

```
MnCo3
1.0
4.186 0.000 0.000
0.000 4.186 0.000
0.000 0.000 4.186
Co Mn
3 1
Cartesian
0.000 2.093 0.000
0.000 0.000 2.093
2.093 0.000 0.000
0.000 0.000 0.000
```

Output
Crystal system: cubic
Magnetic moment, μB per formula unit: 1.93
Calculated formation energy, eV/f.u.: 7.26
D(E_F), states/eV per atom: 2.04
Symmetry: Pm-3m, No. 221



[9]
The following is a DFT calculation (PBE) of a relaxed Nd3ErSc6 crystal.

```
Nd3ErSc6
1.0
-5.888 -1.637 0.069
0.980 -3.133 9.338
-2.647 9.531 0.363
Er Sc Nd
2 12 6
Cartesian
-3.976 -1.489 7.403
-3.055 6.395 2.361
-2.478 0.694 9.284
-7.294 6.410 4.688
-4.369 4.539 5.388
-5.669 5.315 2.625
-6.124 -0.596 4.416
-0.889 -0.277 7.133
-7.671 7.281 0.984
-1.552 -2.985 8.805
-1.760 -2.066 5.099
-3.893 2.712 2.618
-6.575 3.649 0.502
-6.600 1.231 7.186
-2.893 -0.563 2.623
-3.452 1.302 5.652
-6.413 0.629 1.232
-7.434 4.551 7.179
-3.915 3.360 8.570
-7.016 2.648 4.152
```

Output
Crystal system: orthorhombic
Magnetic moment, μB per formula unit: 0.00
Calculated formation energy, eV/f.u.: 1.84
D(E_F), states/eV per atom: 1.42
Symmetry: Cmc2_1, No. 36



[10]
The following is a DFT calculation (PBE) of a relaxed K3Rb6Ag2 crystal.

```
K3Rb6Ag2
1.0
6.769 0.000 -1.203
-0.214 6.766 -1.203
-0.491 -0.506 16.886
Rb K Ag
6 3 2
Cartesian
2.245 5.810 12.633
5.737 2.428 12.633
0.328 3.832 1.847
1.823 1.881 10.257
3.820 0.449 1.847
4.242 4.378 4.224
5.013 5.174 8.562
1.052 1.086 5.919
0.000 0.000 0.000
3.518 3.631 0.150
2.547 2.629 14.331
```

Output
Crystal system: tetragonal
Magnetic moment, μB per formula unit: 0.00
Calculated formation energy, eV/f.u.: 1.09
D(E_F), states/eV per atom: 0.57
Symmetry: I4/mmm, No. 139



[11]
The following is a DFT calculation (PBE) of a relaxed PuTl2Te3 crystal.

```
PuTl2Te3
1.0
-0.272 -2.342 -7.370
7.100 -3.075 2.205
-6.513 -3.718 2.912
Te Tl Pu
6 4 2
Cartesian
1.134 -7.064 -3.744
3.550 -1.537 1.102
-3.392 -3.030 -2.229
-0.819 -2.071 1.491
-0.709 -5.987 0.044
1.024 -3.149 -2.297
3.660 -4.984 -3.154
-5.681 -5.426 -2.669
5.996 -3.709 0.416
-3.346 -4.151 0.902
1.506 -3.922 0.649
-1.192 -5.214 -2.902
```

Output
Crystal system: monoclinic
Magnetic moment, μB per formula unit: 4.33
D(E_F), states/eV per atom: 2.33
E above lowest polymorph, meV/atom: 33
Symmetry: C2/c, No. 15



[12]
The following is a DFT calculation (PBE) of a relaxed U2HRu crystal.

```
U2HRu
1.0
-0.076 1.238 -2.760
-2.515 1.375 -0.973
1.973 8.392 2.052
U Ru H
2 1 1
Cartesian
1.293 6.591 1.262
-1.911 4.415 -2.944
-0.309 5.503 -0.841
0.000 0.000 0.000
```

Output
Total energy, eV per atom: -8.48
Crystal system: trigonal
Magnetic moment, μB per formula unit: 3.84
D(E_F), states/eV per atom: 2.11
Symmetry: R-3m, No. 166